No. 1
A geometry-optimized Tb2Tm3In3 structure, computed with GGA-PBE.

Output
Fermi-level density of states in states/eV/cell: 8.127
Energy of formation in eV/atom: -0.3389

```
data_Tb2Tm3In3
_chemical_formula_sum 'Tb2 Tm3 In3'
_cell_length_a 4.864
_cell_length_b 4.883
_cell_length_c 9.127
_cell_angle_alpha 90.00
_cell_angle_beta 90.00
_cell_angle_gamma 90.00
_space_group_name_H-M_alt 'P m m m'
_space_group_IT_number 47
_space_group_name_Hall '-P 2 2'
loop_
_atom_site_label
_atom_site_type_symbol
_atom_site_fract_x
_atom_site_fract_y
_atom_site_fract_z
Tb1 Tb 0.000 0.000 0.240
Tm1 Tm 0.500 0.000 0.500
Tm2 Tm 0.500 0.500 0.235
In1 In 0.000 0.500 0.000
In2 In 0.000 0.500 0.500
In3 In 0.500 0.000 0.000
```


No. 2
A geometry-optimized Tb6Tm12In structure, computed with GGA-PBE.

Output
Fermi-level density of states in states/eV/cell: 103.363
Energy of formation in eV/atom: 0.0967

```
data_Tb6Tm12In
_chemical_formula_sum 'Tb18 Tm36 In3'
_cell_length_a 12.7892
_cell_length_b 12.7892
_cell_length_c 12.6328
_cell_angle_alpha 90.00
_cell_angle_beta 90.00
_cell_angle_gamma 120.00
_space_group_name_H-M_alt 'R -3 m'
_space_group_IT_number 166
_space_group_name_Hall '-R 3 2"'
loop_
_atom_site_label
_atom_site_type_symbol
_atom_site_fract_x
_atom_site_fract_y
_atom_site_fract_z
Tb1 Tb 0.0910 0.1820 0.2732
Tm1 Tm 0.0000 0.2594 0.5000
Tm2 Tm 0.0530 0.5265 0.6156
In1 In 0.0000 0.0000 0.5000
```


No. 3
A geometry-optimized Tb3Tm6In structure, computed with GGA-PBE.

Output
Fermi-level density of states in states/eV/cell: 27.950
Energy of formation in eV/atom: -0.0709

```
data_Tb3Tm6In
_chemical_formula_sum 'Tb6 Tm12 In2'
_cell_length_a 9.538
_cell_length_b 5.500
_cell_length_c 12.271
_cell_angle_alpha 90.00
_cell_angle_beta 110.91
_cell_angle_gamma 90.00
_space_group_name_H-M_alt 'P 1 21/m 1'
_space_group_IT_number 11
_space_group_name_Hall '-P 2yb'
loop_
_atom_site_label
_atom_site_type_symbol
_atom_site_fract_x
_atom_site_fract_y
_atom_site_fract_z
Tb1 Tb 0.025 0.250 0.371
Tb2 Tb 0.101 0.750 0.222
Tb3 Tb 0.272 0.250 0.973
Tm1 Tm 0.039 0.750 0.931
Tm2 Tm 0.195 0.250 0.670
Tm3 Tm 0.261 0.750 0.515
Tm4 Tm 0.346 0.250 0.295
Tm5 Tm 0.348 0.750 0.827
Tm6 Tm 0.426 0.750 0.139
In1 In 0.469 0.250 0.583
```


No. 4
A geometry-optimized Tb5Tm3In4 structure, computed with GGA-PBE.

Output
Fermi-level density of states in states/eV/cell: 25.680
Energy of formation in eV/atom: -0.0264

```
data_Tb5Tm3In4
_chemical_formula_sum 'Tb10 Tm6 In8'
_cell_length_a 11.765
_cell_length_b 5.221
_cell_length_c 11.616
_cell_angle_alpha 90.00
_cell_angle_beta 98.44
_cell_angle_gamma 90.00
_space_group_name_H-M_alt 'C 1 2/m 1'
_space_group_IT_number 12
_space_group_name_Hall '-C 2y'
loop_
_atom_site_label
_atom_site_type_symbol
_atom_site_fract_x
_atom_site_fract_y
_atom_site_fract_z
Tb1 Tb 0.000 0.000 0.000
Tb2 Tb 0.126 0.500 0.597
Tb3 Tb 0.136 0.500 0.273
Tm1 Tm 0.000 0.500 0.000
Tm2 Tm 0.237 0.500 0.893
In1 In 0.100 0.000 0.425
In2 In 0.103 0.000 0.772
```


No. 5
A geometry-optimized Tb3TmIn4 structure, computed with GGA-PBE.

Output
Fermi-level density of states in states/eV/cell: 4.645
Energy of formation in eV/atom: -0.4645

```
data_Tb3TmIn4
_chemical_formula_sum 'Tb3 Tm1 In4'
_cell_length_a 3.756
_cell_length_b 3.756
_cell_length_c 15.088
_cell_angle_alpha 90.00
_cell_angle_beta 90.00
_cell_angle_gamma 90.00
_space_group_name_H-M_alt 'P 4/m m m'
_space_group_IT_number 123
_space_group_name_Hall '-P 4 2'
loop_
_atom_site_label
_atom_site_type_symbol
_atom_site_fract_x
_atom_site_fract_y
_atom_site_fract_z
Tb1 Tb 0.000 0.000 0.000
Tb2 Tb 0.000 0.000 0.253
Tm1 Tm 0.000 0.000 0.500
In1 In 0.500 0.500 0.127
In2 In 0.500 0.500 0.380
```


No. 6
A geometry-optimized Tb5Tm2In2 structure, computed with GGA-PBE.

Output
Fermi-level density of states in states/eV/cell: 20.256
Energy of formation in eV/atom: -0.1703

```
data_Tb5Tm2In2
_chemical_formula_sum 'Tb10 Tm4 In4'
_cell_length_a 6.908
_cell_length_b 9.383
_cell_length_c 9.974
_cell_angle_alpha 117.87
_cell_angle_beta 110.08
_cell_angle_gamma 90.31
_space_group_name_H-M_alt 'P 1'
_space_group_IT_number 1
_space_group_name_Hall 'P 1'
loop_
_atom_site_label
_atom_site_type_symbol
_atom_site_fract_x
_atom_site_fract_y
_atom_site_fract_z
Tb1 Tb 0.000 0.000 0.000
Tb2 Tb 0.008 0.357 0.995
Tb3 Tb 0.201 0.999 0.374
Tb4 Tb 0.261 0.692 0.001
Tb5 Tb 0.325 0.630 0.630
Tb6 Tb 0.410 0.309 0.304
Tb7 Tb 0.508 0.358 0.996
Tb8 Tb 0.696 0.000 0.372
Tb9 Tb 0.828 0.627 0.627
Tb10 Tb 0.926 0.652 0.325
Tm1 Tm 0.106 0.002 0.694
Tm2 Tm 0.519 0.002 0.000
Tm3 Tm 0.598 0.327 0.670
Tm4 Tm 0.759 0.689 0.998
In1 In 0.097 0.332 0.667
In2 In 0.431 0.667 0.334
In3 In 0.606 0.996 0.695
In4 In 0.913 0.299 0.309
```


No. 7
A geometry-optimized Tb6Tm8In structure, computed with GGA-PBE.

Output
Fermi-level density of states in states/eV/cell: 20.247
Energy of formation in eV/atom: 0.2013

```
data_Tb6Tm8In
_chemical_formula_sum 'Tb6 Tm8 In1'
_cell_length_a 9.1391
_cell_length_b 9.1391
_cell_length_c 6.6349
_cell_angle_alpha 90.00
_cell_angle_beta 90.00
_cell_angle_gamma 120.00
_space_group_name_H-M_alt 'P -3'
_space_group_IT_number 147
_space_group_name_Hall '-P 3'
loop_
_atom_site_label
_atom_site_type_symbol
_atom_site_fract_x
_atom_site_fract_y
_atom_site_fract_z
Tb1 Tb 0.0817 0.6836 0.1005
Tm1 Tm 0.0182 0.3325 0.3935
Tm2 Tm 0.3333 0.6667 0.6823
In1 In 0.0000 0.0000 0.0000
```


No. 8
A geometry-optimized Tb12Tm5In2 structure, computed with GGA-PBE.

Output
Fermi-level density of states in states/eV/cell: 57.407
Energy of formation in eV/atom: -0.0014

```
data_Tb12Tm5In2
_chemical_formula_sum 'Tb24 Tm10 In4'
_cell_length_a 15.293
_cell_length_b 9.206
_cell_length_c 8.365
_cell_angle_alpha 90.00
_cell_angle_beta 92.00
_cell_angle_gamma 90.00
_space_group_name_H-M_alt 'C 1 2/m 1'
_space_group_IT_number 12
_space_group_name_Hall '-C 2y'
loop_
_atom_site_label
_atom_site_type_symbol
_atom_site_fract_x
_atom_site_fract_y
_atom_site_fract_z
Tb1 Tb 0.054 0.000 0.326
Tb2 Tb 0.085 0.500 0.886
Tb3 Tb 0.125 0.196 0.660
Tb4 Tb 0.150 0.314 0.237
Tm1 Tm 0.000 0.500 0.500
Tm2 Tm 0.190 0.000 0.008
Tm3 Tm 0.234 0.500 0.581
In1 In 0.000 0.178 0.000
```